SrAsPb2: relaxed, PBE.

The energy relative to the elements is -0.173 eV/atom. The total magnetic moment is 0.0 Bohr magnetons per cell. The density of states at the Fermi level is 1.5 states/eV/cell. The total energy comes out at -14.441 eV for the cell shown. The value obtained for the calculated volume is 29.98 A^3/atom.

It has space group P4/mmm (No. 123), with a = 4.121 Å, b = 4.121 Å, c = 7.061 Å, α = 90.00°, β = 90.00° and γ = 90.00°. The inequivalent atoms are Sr at (0.000, 0.000, 0.000), As at (0.000, 0.000, 0.500) and Pb at (0.500, 0.500, 0.290).